CsCdOs3 PBE-GGA optimized geometry; DFT formation energy = 2.972 eV/atom; total moment = 6.6 μB/cell
1.0
5.0374 0.0000 0.0000
0.0000 5.0374 0.0000
0.0000 0.0000 5.0374
Cs Os Cd
1 3 1
direct
0.5000 0.5000 0.5000
0.0000 0.5000 0.0000
0.0000 0.0000 0.5000
0.5000 0.0000 0.0000
0.0000 0.0000 0.0000



BiCN2O PBE-GGA optimized geometry; total moment = 1.2 μB/cell; raw formation energy = 2.6629 eV/atom
1.0
-3.1662 -1.4322 -2.7954
1.7247 -4.1100 0.1522
-2.4424 -0.9053 3.2302
C Bi O N
1 1 1 2
direct
0.5000 0.5000 0.5000
0.0000 0.0000 0.0000
0.0000 0.0000 0.5000
0.0000 0.5000 0.0000
0.5000 0.0000 0.0000



Sm6HgRu2 PBE-GGA optimized geometry; DFT formation energy = -0.223 eV/atom; total moment = 0.0 μB/cell
1.0
-2.5686 2.9914 3.4259
-1.4344 -5.5110 -0.2452
5.2996 -3.2796 6.8372
Sm Hg Ru
6 1 2
direct
0.9603 0.9207 0.8429
0.7113 0.4227 0.1613
0.2887 0.5773 0.8387
0.6590 0.3180 0.6136
0.3410 0.6820 0.3864
0.0397 0.0793 0.1571
0.0000 0.0000 0.5000
0.6132 0.2263 0.9006
0.3868 0.7737 0.0994



NdHo3Cd4 PBE-GGA optimized geometry; DFT formation energy = -0.312 eV/atom; total moment = 0.9 μB/cell
1.0
-3.8489 -3.6101 0.2978
3.2363 -2.9353 6.2444
-5.6895 6.5634 6.0340
Nd Ho Cd
2 6 8
direct
0.0000 0.5000 0.0000
0.0000 0.5000 0.5000
0.0000 0.0000 0.0000
0.0000 0.0000 0.5000
0.5001 0.0000 0.7500
0.4999 0.0000 0.2500
0.5001 0.5000 0.7500
0.4999 0.5000 0.2500
0.5000 0.7591 0.0000
0.5000 0.7591 0.5000
0.5000 0.2409 0.0000
0.5000 0.2409 0.5000
0.0000 0.7592 0.7500
0.0000 0.7592 0.2500
0.0000 0.2408 0.2500
0.0000 0.2408 0.7500



The lowest total moment belongs to which entry? Sm6HgRu2



The highest total moment belongs to which entry? CsCdOs3



Which of these has the lowest total moment? Sm6HgRu2